Entry 1:
Here is a relaxed structure of La2Mg4NiIr from OQMD. Energies are from PBE.

a = 8.410 Å, b = 4.202 Å, c = 10.323 Å
α = 90.00°, β = 90.00°, γ = 90.00°
Space group Amm2 (No. 38)
Asymmetric unit:
1 La 0.000 0.000 0.000 x2
2 La 0.500 0.000 0.125 x2
3 Mg 0.197 0.000 0.719 x4
4 Mg 0.307 0.000 0.409 x4
5 Ni 0.500 0.000 0.837 x2
6 Ir 0.000 0.000 0.291 x2

Summary:
E_tot = -4.183 eV/atom
Total moment = 0.0 μB/f.u.

---

Entry 2:
Here is a relaxed structure of Tl2BiOsO6 from OQMD. Energies are from PBE.

a = 8.431 Å, b = 8.431 Å, c = 8.431 Å
α = 90.00°, β = 90.00°, γ = 90.00°
Space group Fm-3m (No. 225)
Asymmetric unit:
1 Tl 0.250 0.250 0.250 x8
2 Bi 0.000 0.000 0.000 x4
3 Os 0.000 0.000 0.500 x4
4 O 0.000 0.000 0.275 x24

Summary:
E_tot = -5.884 eV/atom
Total moment = 0.1 μB/f.u.